Computed, not measured: crystalline CaCu2Au at its relaxed geometry at the PBE-GGA level of DFT.

ΔE to the lowest computed polymorph: 171 meV per atom
Space-group type: No. 47
Energy of formation: -2.44 kcal/mol of atoms
Final energy: -3.474 eV per atom

abc: 4.1153 4.1720 4.1859
angles: 90.00 90.00 90.00
Sites, in units of the cell vectors:
Ca  0.0000  0.0000  0.0000
Cu  0.0000  0.5000  0.5000
Cu  0.5000  0.0000  0.5000
Au  0.5000  0.5000  0.0000

Computed, not measured: crystalline VPtS4 at its relaxed geometry at the PBE-GGA level of DFT.

Energy relative to the elements, uncorrected: -0.527 eV/atom
Space-group type: No. 1
Final energy: -5.805 eV per atom

abc: 3.4252 5.8182 6.5813
angles: 98.70 104.64 91.59
Sites, in units of the cell vectors:
V  0.0000  0.0000  0.0000
Pt  0.5487  0.5550  0.9910
S  0.1405  0.4065  0.1913
S  0.4269  0.1663  0.7995
S  0.6438  0.9240  0.2384
S  0.9376  0.6661  0.7572

Results for DOS at the Fermi energy: 1.0 1.2 (in states/eV per cell, following the order of the records).